Entry 1:
PBE Sm4SbAs2S, optimized geometry; total magnetic moment = 0.0 μB per cell; E_tot = -48.89 eV for the cell shown; D(E_F) = 1.5 states/eV/f.u.; E_form (uncorrected) = -1559 meV per atom
1.0
4.2382 0.0000 0.0000
0.0000 7.3483 -0.1509
0.0000 2.5743 6.8703
Sm Sb As S
4 1 2 1
direct
0.0000 0.7609 0.7388
0.0000 0.2391 0.2612
0.5000 0.7569 0.2541
0.5000 0.2431 0.7459
0.5000 0.5000 0.0000
0.0000 0.0000 0.0000
0.5000 0.0000 0.5000
0.0000 0.5000 0.5000



Entry 2:
PBE BaAg2O, optimized geometry; total magnetic moment = 0.0 μB per cell; E_tot = -26.73 eV for the cell shown; D(E_F) = 2.9 states/eV/f.u.; E_form (uncorrected) = -196 meV per atom
1.0
5.2114 0.0000 0.0000
0.0000 5.2114 0.0000
2.6057 2.6057 7.9853
O Ba Ag
2 2 4
direct
0.5000 0.5000 0.0000
0.2500 0.7500 0.5000
0.0000 0.0000 0.0000
0.7500 0.2500 0.5000
0.3762 0.1250 0.2500
0.3738 0.6250 0.2500
0.3750 0.6238 0.7500
0.8750 0.6262 0.7500



Entry 3:
PBE Ho2PbSe4, optimized geometry; polymorph energy (0 for the lowest one) = 0.005 eV per atom; total magnetic moment = 0.0 μB per cell; E_tot = -74.38 eV for the cell shown; E_form (uncorrected) = -1484 meV per atom
1.0
4.1071 0.0000 0.0000
-2.0536 6.7630 0.0000
0.0000 0.0000 14.1591
Ho Pb Se
4 2 8
direct
0.1363 0.2726 0.4337
0.8637 0.7274 0.9337
0.1363 0.2726 0.0663
0.8637 0.7274 0.5663
0.6036 0.2073 0.7500
0.3964 0.7927 0.2500
0.7698 0.5397 0.1147
0.7698 0.5397 0.3853
0.2302 0.4603 0.8853
0.2302 0.4603 0.6147
0.9481 0.8962 0.7500
0.0519 0.1038 0.2500
0.5000 0.0000 0.0000
0.5000 0.0000 0.5000